# PBE-GGA In3Sn5, relaxed
# E (eV/atom): -3.487
# Mass density (Mg/m³): 7.1
# Total magnetization (μB per formula unit): 0.0
# Energy of formation (meV/atom): 41
# Volume (Å³/atom): 27.5
data_In3Sn5
_space_group_name_H-M_alt 'P m m m'
_space_group_IT_number 47
_space_group_name_Hall '-P 2 2'
_cell_length_a 4.618
_cell_length_b 4.883
_cell_length_c 9.745
_cell_angle_alpha 90.00
_cell_angle_beta 90.00
_cell_angle_gamma 90.00
loop_
_atom_site_label
_atom_site_type_symbol
_atom_site_fract_x
_atom_site_fract_y
_atom_site_fract_z
In1 In 0.000 0.000 0.000
In2 In 0.000 0.500 0.249
Sn1 Sn 0.000 0.000 0.500
Sn2 Sn 0.500 0.000 0.247
Sn3 Sn 0.500 0.500 0.000
Sn4 Sn 0.500 0.500 0.500

# PBE-GGA InSn3, relaxed
# E (eV/atom): -3.637
# Mass density (Mg/m³): 7.1
# Total magnetization (μB per formula unit): 0.0
# Energy of formation (meV/atom): 50
# Volume (Å³/atom): 27.5
data_InSn3
_space_group_name_H-M_alt 'I m m 2'
_space_group_IT_number 44
_space_group_name_Hall 'I 2 -2'
_cell_length_a 3.442
_cell_length_b 11.199
_cell_length_c 5.700
_cell_angle_alpha 90.00
_cell_angle_beta 90.00
_cell_angle_gamma 90.00
loop_
_atom_site_label
_atom_site_type_symbol
_atom_site_fract_x
_atom_site_fract_y
_atom_site_fract_z
In1 In 0.000 0.000 0.000
Sn1 Sn 0.000 0.242 0.638
Sn2 Sn 0.000 0.500 0.993

# PBE-GGA InSn, relaxed
# E (eV/atom): -3.348
# Mass density (Mg/m³): 7.1
# Total magnetization (μB per formula unit): 0.0
# Energy of formation (meV/atom): 23
# Volume (Å³/atom): 27.5
data_InSn
_space_group_name_H-M_alt 'P 1 21/m 1'
_space_group_IT_number 11
_space_group_name_Hall '-P 2yb'
_cell_length_a 3.386
_cell_length_b 4.688
_cell_length_c 6.927
_cell_angle_alpha 90.00
_cell_angle_beta 92.09
_cell_angle_gamma 90.00
loop_
_atom_site_label
_atom_site_type_symbol
_atom_site_fract_x
_atom_site_fract_y
_atom_site_fract_z
In1 In 0.248 0.250 0.377
Sn1 Sn 0.253 0.250 0.877

# PBE-GGA InSn, relaxed
# E (eV/atom): -3.164
# Mass density (Mg/m³): 5.5
# Total magnetization (μB per formula unit): 0.0
# Energy of formation (meV/atom): 206
# Volume (Å³/atom): 35.1
data_InSn
_space_group_name_H-M_alt 'P 63 m c'
_space_group_IT_number 186
_space_group_name_Hall 'P 6c -2c'
_cell_length_a 4.3249
_cell_length_b 4.3249
_cell_length_c 8.6649
_cell_angle_alpha 90.00
_cell_angle_beta 90.00
_cell_angle_gamma 120.00
loop_
_atom_site_label
_atom_site_type_symbol
_atom_site_fract_x
_atom_site_fract_y
_atom_site_fract_z
In1 In 0.3333 0.6667 0.0000
Sn1 Sn 0.3333 0.6667 0.3282

# PBE-GGA InSn4, relaxed
# ΔE to the lowest computed polymorph (meV/atom): 41
# E (eV/atom): -3.694
# Mass density (Mg/m³): 7.0
# Total magnetization (μB per formula unit): 0.0
# Energy of formation (meV/atom): 56
# Volume (Å³/atom): 27.8
data_InSn4
_space_group_name_H-M_alt 'I m m m'
_space_group_IT_number 71
_space_group_name_Hall '-I 2 2'
_cell_length_a 3.243
_cell_length_b 5.303
_cell_length_c 16.162
_cell_angle_alpha 90.00
_cell_angle_beta 90.00
_cell_angle_gamma 90.00
loop_
_atom_site_label
_atom_site_type_symbol
_atom_site_fract_x
_atom_site_fract_y
_atom_site_fract_z
In1 In 0.000 0.000 0.000
Sn1 Sn 0.000 0.000 0.196
Sn2 Sn 0.000 0.000 0.394

# PBE-GGA In2Sn5, relaxed
# ΔE to the lowest computed polymorph (meV/atom): 7
# E (eV/atom): -3.582
# Mass density (Mg/m³): 6.9
# Total magnetization (μB per formula unit): 0.0
# Energy of formation (meV/atom): 60
# Volume (Å³/atom): 28.2
data_In2Sn5
_space_group_name_H-M_alt 'C 1 2/c 1'
_space_group_IT_number 15
_space_group_name_Hall '-C 2yc'
_cell_length_a 25.349
_cell_length_b 3.384
_cell_length_c 9.340
_cell_angle_alpha 90.00
_cell_angle_beta 100.09
_cell_angle_gamma 90.00
loop_
_atom_site_label
_atom_site_type_symbol
_atom_site_fract_x
_atom_site_fract_y
_atom_site_fract_z
In1 In 0.135 0.007 0.318
Sn1 Sn 0.000 0.003 0.750
Sn2 Sn 0.068 0.500 0.034
Sn3 Sn 0.220 0.001 0.111

Question: The highest E belongs to which entry?
Answer: number 4

Question: Look up the volume of the first one.
Answer: 27.5 Å³/atom

Question: Which formula does entry 5 have?
Answer: InSn4

Question: What is the formula in the third record?
Answer: InSn